[1]
This record from the Alexandria database describes a relaxed SmPS4 crystal. The functional is PBEsol.

Calculated values
Uncorrected formation energy: -1.086 eV/atom
Magnetization: 0.00 μB/f.u.
D(E_F): 0.000 states/eV per atom
Density: 3.8 g cm⁻³

```
data_SmPS4
_symmetry_space_group_name_H-M 'I 41/a c d'
_symmetry_Int_Tables_number 142
_cell_length_a 10.711
_cell_length_b 10.711
_cell_length_c 18.983
_cell_angle_alpha 90.00
_cell_angle_beta 90.00
_cell_angle_gamma 90.00
loop_
_symmetry_equiv_pos_as_xyz
'x,y,z'
'-x,-y,-z'
'-y+1/4,x+3/4,z+1/4'
'y+1/4,-x+3/4,-z+1/4'
'-x+1/2,-y,z+1/2'
'x+1/2,y,-z+1/2'
'y+1/4,-x+1/4,z+3/4'
'-y+1/4,x+1/4,-z+3/4'
'x,-y,-z+1/2'
'-x,y,z+1/2'
'-y+1/4,-x+1/4,-z+1/4'
'y+1/4,x+1/4,z+1/4'
'-x+1/2,y,-z'
'x+1/2,-y,z'
'y+1/4,x+3/4,-z+3/4'
'-y+1/4,-x+3/4,z+3/4'
'x+1/2,y+1/2,z+1/2'
'-x+1/2,-y+1/2,-z+1/2'
'-y+3/4,x+1/4,z+3/4'
'y+3/4,-x+1/4,-z+3/4'
'-x,-y+1/2,z'
'x,y+1/2,-z'
'y+3/4,-x+3/4,z+1/4'
'-y+3/4,x+3/4,-z+1/4'
'x+1/2,-y+1/2,-z'
'-x+1/2,y+1/2,z'
'-y+3/4,-x+3/4,-z+3/4'
'y+3/4,x+3/4,z+3/4'
'-x,y+1/2,-z+1/2'
'x,-y+1/2,z+1/2'
'y+3/4,x+1/4,-z+1/4'
'-y+3/4,-x+1/4,z+1/4'
loop_
_atom_site_label
_atom_site_fract_x
_atom_site_fract_y
_atom_site_fract_z
_atom_site_occupancy
Sm1 0.000 0.250 0.125 1
Sm2 0.000 0.250 0.375 1
P1 0.039 0.000 0.250 1
S1 0.068 0.002 0.839 1
S2 0.088 0.110 0.002 1
```

[2]
This record from the Alexandria database describes a relaxed TePt2Se crystal. The functional is PBEsol.

Calculated values
Uncorrected formation energy: -0.306 eV/atom
Polymorph energy (0 for the lowest one): 0 kJ/mol of formula units
Magnetization: 0.00 μB/f.u.
D(E_F): 0.517 states/eV per atom
Density: 11.9 g cm⁻³

```
data_TePt2Se
_symmetry_space_group_name_H-M 'R 3 m'
_symmetry_Int_Tables_number 160
_symmetry_space_group_name_Hall 'R 3 -2"'
_cell_length_a 3.8368
_cell_length_b 3.8368
_cell_length_c 19.5336
_cell_angle_alpha 90.00
_cell_angle_beta 90.00
_cell_angle_gamma 120.00
loop_
_atom_site_label
_atom_site_fract_x
_atom_site_fract_y
_atom_site_fract_z
_atom_site_occupancy
Te1 0.0000 0.0000 0.0000 1
Pt1 0.0000 0.0000 0.2658 1
Pt2 0.0000 0.0000 0.5212 1
Se1 0.0000 0.0000 0.7999 1
```

[3]
This record from the Alexandria database describes a relaxed Mo2OsRh crystal. The functional is PBEsol.

Calculated values
Energy of formation: -0.28 eV per formula unit
Polymorph energy (0 for the lowest one): 4 kJ/mol of formula units
Magnetization: 0.00 μB/f.u.
D(E_F): 0.962 states/eV per atom
Density: 14.0 g cm⁻³

```
data_Mo2OsRh
_symmetry_space_group_name_H-M 'C m m m'
_symmetry_Int_Tables_number 65
_symmetry_space_group_name_Hall '-C 2 2'
_cell_length_a 5.472
_cell_length_b 7.729
_cell_length_c 2.729
_cell_angle_alpha 90.00
_cell_angle_beta 90.00
_cell_angle_gamma 90.00
loop_
_atom_site_label
_atom_site_fract_x
_atom_site_fract_y
_atom_site_fract_z
_atom_site_occupancy
Mo1 0.250 0.250 0.000 1
Os1 0.000 0.000 0.500 1
Rh1 0.000 0.500 0.500 1
```

[4]
This record from the Alexandria database describes a relaxed HPbBrO crystal. The functional is PBEsol.

Calculated values
Magnetization: 0.00 μB/f.u.
E: -74.4 eV per cell
D(E_F): 0.000 states/eV per atom
Density: 6.8 g cm⁻³

```
data_HPbBrO
_symmetry_space_group_name_H-M 'P n m a'
_symmetry_Int_Tables_number 62
_cell_length_a 7.303
_cell_length_b 4.044
_cell_length_c 9.994
_cell_angle_alpha 90.00
_cell_angle_beta 90.00
_cell_angle_gamma 90.00
loop_
_symmetry_equiv_pos_as_xyz
'x,y,z'
'-x,-y,-z'
'-x+1/2,-y,z+1/2'
'x+1/2,y,-z+1/2'
'x+1/2,-y+1/2,-z+1/2'
'-x+1/2,y+1/2,z+1/2'
'-x,y+1/2,-z'
'x,-y+1/2,z'
loop_
_atom_site_label
_atom_site_fract_x
_atom_site_fract_y
_atom_site_fract_z
_atom_site_occupancy
H1 0.209 0.250 0.116 1
Pb1 0.198 0.750 0.915 1
Br1 0.056 0.250 0.679 1
O1 0.124 0.250 0.039 1
```

[5]
This record from the Alexandria database describes a relaxed Ca3InP3 crystal. The functional is PBEsol.

Calculated values
Energy of formation: -6.83 eV per formula unit
Magnetization: 0.00 μB/f.u.
Density: 3.3 g cm⁻³

```
data_Ca3InP3
_symmetry_space_group_name_H-M 'P n m a'
_symmetry_Int_Tables_number 62
_cell_length_a 11.938
_cell_length_b 4.113
_cell_length_c 13.310
_cell_angle_alpha 90.00
_cell_angle_beta 90.00
_cell_angle_gamma 90.00
loop_
_symmetry_equiv_pos_as_xyz
'x,y,z'
'-x,-y,-z'
'-x+1/2,-y,z+1/2'
'x+1/2,y,-z+1/2'
'x+1/2,-y+1/2,-z+1/2'
'-x+1/2,y+1/2,z+1/2'
'-x,y+1/2,-z'
'x,-y+1/2,z'
loop_
_atom_site_label
_atom_site_fract_x
_atom_site_fract_y
_atom_site_fract_z
_atom_site_occupancy
Ca1 0.065 0.250 0.103 1
Ca2 0.154 0.750 0.505 1
Ca3 0.231 0.750 0.789 1
In1 0.051 0.250 0.700 1
P1 0.051 0.250 0.368 1
P2 0.105 0.250 0.888 1
P3 0.245 0.750 0.128 1
```

[6]
This record from the Alexandria database describes a relaxed In2FeCl crystal. The functional is PBEsol.

Calculated values
Uncorrected formation energy: 0.265 eV/atom
Polymorph energy (0 for the lowest one): 40 kJ/mol of formula units
Magnetization: 2.81 μB/f.u.
D(E_F): 0.595 states/eV per atom
Density: 6.6 g cm⁻³

```
data_In2FeCl
_symmetry_space_group_name_H-M 'I m m m'
_symmetry_Int_Tables_number 71
_symmetry_space_group_name_Hall '-I 2 2'
_cell_length_a 3.398
_cell_length_b 5.075
_cell_length_c 9.421
_cell_angle_alpha 90.00
_cell_angle_beta 90.00
_cell_angle_gamma 90.00
loop_
_atom_site_label
_atom_site_fract_x
_atom_site_fract_y
_atom_site_fract_z
_atom_site_occupancy
In1 0.000 0.000 0.224 1
Fe1 0.000 0.500 0.500 1
Cl1 0.000 0.500 0.000 1
```

[7]
This record from the Alexandria database describes a relaxed HgGeTe2I crystal. The functional is PBEsol.

Calculated values
Uncorrected formation energy: 0.661 eV/atom
Magnetization: 0.00 μB/f.u.
D(E_F): 0.710 states/eV per atom
Density: 6.4 g cm⁻³

```
data_HgGeTe2I
_symmetry_space_group_name_H-M 'P 4/m m m'
_symmetry_Int_Tables_number 123
_symmetry_space_group_name_Hall '-P 4 2'
_cell_length_a 5.538
_cell_length_b 5.538
_cell_length_c 5.579
_cell_angle_alpha 90.00
_cell_angle_beta 90.00
_cell_angle_gamma 90.00
loop_
_atom_site_label
_atom_site_fract_x
_atom_site_fract_y
_atom_site_fract_z
_atom_site_occupancy
Hg1 0.000 0.000 0.000 1
Ge1 0.500 0.500 0.500 1
Te1 0.000 0.500 0.000 1
I1 0.000 0.000 0.500 1
```

[8]
This record from the Alexandria database describes a relaxed Sc2Zn crystal. The functional is PBEsol.

Calculated values
Energy of formation: -0.76 eV per formula unit
Magnetization: 0.00 μB/f.u.
D(E_F): 1.053 states/eV per atom
Density: 4.4 g cm⁻³

```
data_Sc2Zn
_symmetry_space_group_name_H-M 'C m c m'
_symmetry_Int_Tables_number 63
_symmetry_space_group_name_Hall '-C 2c 2'
_cell_length_a 3.307
_cell_length_b 15.026
_cell_length_c 4.748
_cell_angle_alpha 90.00
_cell_angle_beta 90.00
_cell_angle_gamma 90.00
loop_
_atom_site_label
_atom_site_fract_x
_atom_site_fract_y
_atom_site_fract_z
_atom_site_occupancy
Sc1 0.000 0.083 0.250 1
Sc2 0.000 0.223 0.750 1
Zn1 0.000 0.429 0.250 1
```

[9]
This record from the Alexandria database describes a relaxed MnCo2P crystal. The functional is PBEsol.

Calculated values
Energy of formation: -0.98 eV per formula unit
Magnetization: 2.51 μB/f.u.
D(E_F): 1.186 states/eV per atom
Density: 8.2 g cm⁻³

```
data_MnCo2P
_symmetry_space_group_name_H-M 'I m m 2'
_symmetry_Int_Tables_number 44
_cell_length_a 2.637
_cell_length_b 3.928
_cell_length_c 7.966
_cell_angle_alpha 90.00
_cell_angle_beta 90.00
_cell_angle_gamma 90.00
loop_
_symmetry_equiv_pos_as_xyz
'x,y,z'
'-x,-y,z'
'-x,y,z'
'x,-y,z'
'x+1/2,y+1/2,z+1/2'
'-x+1/2,-y+1/2,z+1/2'
'-x+1/2,y+1/2,z+1/2'
'x+1/2,-y+1/2,z+1/2'
loop_
_atom_site_label
_atom_site_fract_x
_atom_site_fract_y
_atom_site_fract_z
_atom_site_occupancy
Mn1 0.000 0.000 0.000 1
Co1 0.000 0.000 0.443 1
Co2 0.000 0.500 0.224 1
P1 0.000 0.500 0.728 1
```

[10]
This record from the Alexandria database describes a relaxed BaCo2As crystal. The functional is PBEsol.

Calculated values
Energy of formation: 0.06 eV per formula unit
Magnetization: 0.98 μB/f.u.
D(E_F): 1.053 states/eV per atom
Density: 6.2 g cm⁻³

```
data_BaCo2As
_symmetry_space_group_name_H-M 'P m m m'
_symmetry_Int_Tables_number 47
_cell_length_a 3.726
_cell_length_b 4.729
_cell_length_c 5.037
_cell_angle_alpha 90.00
_cell_angle_beta 90.00
_cell_angle_gamma 90.00
loop_
_symmetry_equiv_pos_as_xyz
'x,y,z'
'-x,-y,-z'
'-x,-y,z'
'x,y,-z'
'x,-y,-z'
'-x,y,z'
'-x,y,-z'
'x,-y,z'
loop_
_atom_site_label
_atom_site_fract_x
_atom_site_fract_y
_atom_site_fract_z
_atom_site_occupancy
Ba1 0.000 0.000 0.000 1
Co1 0.500 0.230 0.500 1
As1 0.000 0.500 0.500 1
```

[11]
This record from the Alexandria database describes a relaxed CaBeZn2 crystal. The functional is PBEsol.

Calculated values
Energy of formation: 0.40 eV per formula unit
Magnetization: 0.00 μB/f.u.
D(E_F): 0.348 states/eV per atom
Density: 4.6 g cm⁻³

```
data_CaBeZn2
_symmetry_space_group_name_H-M 'F -4 3 m'
_symmetry_Int_Tables_number 216
_symmetry_space_group_name_Hall 'F -4 2 3'
_cell_length_a 6.361
_cell_length_b 6.361
_cell_length_c 6.361
_cell_angle_alpha 90.00
_cell_angle_beta 90.00
_cell_angle_gamma 90.00
loop_
_atom_site_label
_atom_site_fract_x
_atom_site_fract_y
_atom_site_fract_z
_atom_site_occupancy
Ca1 0.000 0.000 0.000 1
Be1 0.250 0.250 0.250 1
Zn1 0.000 0.000 0.500 1
Zn2 0.250 0.250 0.750 1
```

[12]
This record from the Alexandria database describes a relaxed AlInAu crystal. The functional is PBEsol.

Calculated values
Energy of formation: -0.82 eV per formula unit
Magnetization: 0.00 μB/f.u.
D(E_F): 0.304 states/eV per atom
Density: 9.1 g cm⁻³

```
data_AlInAu
_symmetry_space_group_name_H-M 'F -4 3 m'
_symmetry_Int_Tables_number 216
_symmetry_space_group_name_Hall 'F -4 2 3'
_cell_length_a 6.267
_cell_length_b 6.267
_cell_length_c 6.267
_cell_angle_alpha 90.00
_cell_angle_beta 90.00
_cell_angle_gamma 90.00
loop_
_atom_site_label
_atom_site_fract_x
_atom_site_fract_y
_atom_site_fract_z
_atom_site_occupancy
Al1 0.000 0.000 0.000 1
In1 0.000 0.000 0.500 1
Au1 0.250 0.250 0.250 1
```